{"formula": "TeSe2Cl", "functional": "PBE", "state": "optimized geometry", "raw_formation_energy_mev_per_atom": 137.5, "mass_density_g_cm3": 5.08, "m_tot_mub_per_cell": 0.00, "cell": [[-0.567, -0.998, -7.272], [2.747, -3.208, -6.030], [-1.097, -4.747, -5.519]], "species": ["Te", "Cl", "Se", "Se"], "frac_coords": [[0.510, 0.510, 0.510], [0.751, 0.751, 0.751], [0.253, 0.253, 0.253], [0.985, 0.985, 0.985]]}

---

{"formula": "Cr7Br", "functional": "PBE", "state": "optimized geometry", "raw_formation_energy_mev_per_atom": 779.3, "mass_density_g_cm3": 7.30, "m_tot_mub_per_cell": 5.10, "cell": [[-5.090, -1.061, -0.537], [-3.516, 2.502, 2.949], [-3.191, 3.528, -2.166]], "species": ["Cr", "Br", "Cr", "Cr", "Cr", "Cr", "Cr", "Cr"], "frac_coords": [[0.500, 0.500, 0.500], [0.000, 0.000, 0.000], [0.500, 0.500, 0.000], [0.000, 0.000, 0.500], [0.500, 0.000, 0.000], [0.000, 0.500, 0.500], [0.000, 0.500, 0.000], [0.500, 0.000, 0.500]]}

---

{"formula": "Cs2In2W", "functional": "PBE", "state": "optimized geometry", "mass_density_g_cm3": 6.03, "m_tot_mub_per_cell": 3.79, "formation_enthalpy_0k_ev_per_atom": 1.454, "cell": [[4.671, 0.000, 0.000], [0.000, 4.671, 0.000], [2.335, 2.335, 8.579]], "species": ["Cs", "W", "In", "Cs", "In"], "frac_coords": [[0.250, 0.750, 0.500], [0.000, 0.000, 0.000], [0.580, 0.580, 0.840], [0.750, 0.250, 0.500], [0.420, 0.420, 0.160]]}

---

{"formula": "Pb5AuSe4", "functional": "PBE", "state": "optimized geometry", "raw_formation_energy_mev_per_atom": -439.8, "mass_density_g_cm3": 8.82, "m_tot_mub_per_cell": 0.00, "cell": [[4.314, 0.000, -0.608], [-0.086, 4.314, -0.608], [0.008, 0.009, 15.671]], "species": ["Au", "Pb", "Se", "Pb", "Se", "Pb", "Pb", "Pb", "Se", "Se"], "frac_coords": [[0.000, 0.000, 0.000], [0.700, 0.700, 0.400], [0.601, 0.601, 0.202], [0.902, 0.902, 0.804], [0.198, 0.198, 0.396], [0.300, 0.300, 0.600], [0.500, 0.500, 0.000], [0.098, 0.098, 0.196], [0.399, 0.399, 0.798], [0.802, 0.802, 0.604]]}

---

{"formula": "Th2ScTi", "functional": "PBE", "state": "optimized geometry", "mass_density_g_cm3": 8.78, "m_tot_mub_per_cell": 0.00, "formation_enthalpy_0k_ev_per_atom": 0.115, "cell": [[-1.488, -1.882, 2.770], [-2.388, -1.528, -2.321], [5.026, -5.886, -1.297]], "species": ["Ti", "Th", "Th", "Sc"], "frac_coords": [[0.500, 0.500, 0.000], [0.000, 0.000, 0.232], [0.000, 0.000, 0.768], [0.500, 0.500, 0.500]]}

---

{"formula": "ScCo", "functional": "PBE", "state": "optimized geometry", "mass_density_g_cm3": 5.19, "m_tot_mub_per_cell": 11.53, "formation_enthalpy_0k_ev_per_atom": 0.028, "cell": [[5.238, 0.000, 0.000], [0.000, 12.689, 0.000], [0.000, 0.000, 8.005]], "species": ["Sc", "Co", "Sc", "Co", "Sc", "Co", "Sc", "Co", "Sc", "Co", "Sc", "Co", "Sc", "Co", "Co", "Co", "Sc", "Sc", "Co", "Sc", "Sc", "Co", "Co", "Co", "Co", "Sc", "Sc", "Co", "Co", "Sc", "Sc", "Sc"], "frac_coords": [[0.750, 0.750, 0.073], [0.750, 0.163, 0.250], [0.750, 0.750, 0.427], [0.250, 0.663, 0.250], [0.000, 0.000, 0.323], [0.750, 0.837, 0.750], [0.500, 0.000, 0.823], [0.250, 0.163, 0.750], [0.250, 0.250, 0.073], [0.500, 0.587, 0.000], [0.500, 0.500, 0.323], [0.500, 0.913, 0.500], [0.250, 0.750, 0.573], [0.500, 0.087, 0.500], [0.750, 0.337, 0.250], [0.000, 0.087, 0.000], [0.000, 0.500, 0.177], [0.500, 0.500, 0.677], [0.750, 0.663, 0.750], [0.750, 0.250, 0.573], [0.250, 0.750, 0.927], [0.500, 0.413, 0.000], [0.250, 0.837, 0.250], [0.250, 0.337, 0.750], [0.000, 0.413, 0.500], [0.500, 0.000, 0.177], [0.000, 0.000, 0.677], [0.000, 0.913, 0.000], [0.000, 0.587, 0.500], [0.000, 0.500, 0.823], [0.750, 0.250, 0.927], [0.250, 0.250, 0.427]]}

---

{"formula": "ZrSb4Rh", "functional": "PBE", "state": "optimized geometry", "raw_formation_energy_mev_per_atom": 582.7, "mass_density_g_cm3": 7.50, "m_tot_mub_per_cell": 0.00, "cell": [[0.000, 4.226, 4.226], [4.226, 0.000, 4.226], [4.226, 4.226, 0.000]], "species": ["Zr", "Sb", "Sb", "Rh", "Sb", "Sb"], "frac_coords": [[0.750, 0.750, 0.750], [0.375, 0.375, 0.375], [0.375, 0.876, 0.375], [0.000, 0.000, 0.000], [0.876, 0.375, 0.375], [0.375, 0.375, 0.876]]}

---

{"formula": "MgPaTc", "functional": "PBE", "state": "optimized geometry", "mass_density_g_cm3": 8.58, "m_tot_mub_per_cell": 0.00, "formation_enthalpy_0k_ev_per_atom": 0.040, "cell": [[4.424, 0.000, 0.000], [-2.212, 3.712, 0.934], [0.000, 0.507, 8.458]], "species": ["Mg", "Pa", "Mg", "Pa", "Tc", "Tc"], "frac_coords": [[0.361, 0.722, 0.416], [0.887, 0.773, 0.841], [0.639, 0.278, 0.584], [0.113, 0.227, 0.159], [0.762, 0.524, 0.215], [0.238, 0.476, 0.785]]}

---

{"formula": "AcPr3Tm4", "functional": "PBE", "state": "optimized geometry", "mass_density_g_cm3": 8.01, "m_tot_mub_per_cell": 0.00, "formation_enthalpy_0k_ev_per_atom": 0.167, "cell": [[3.370, 0.000, 0.873], [1.161, 8.671, 2.461], [-0.538, -1.013, 9.016]], "species": ["Tm", "Tm", "Ac", "Pr", "Pr", "Tm", "Pr", "Tm"], "frac_coords": [[0.363, 0.390, 0.884], [0.363, 0.884, 0.390], [0.500, 0.000, 0.000], [0.000, 0.500, 0.500], [0.244, 0.756, 0.756], [0.637, 0.116, 0.610], [0.756, 0.244, 0.244], [0.637, 0.610, 0.116]]}

---

{"formula": "SiSb2PI", "functional": "PBE", "state": "optimized geometry", "raw_formation_energy_mev_per_atom": 913.0, "mass_density_g_cm3": 4.88, "m_tot_mub_per_cell": 0.00, "cell": [[5.292, 0.000, 0.000], [0.000, 5.292, 0.000], [0.000, 0.000, 5.219]], "species": ["I", "P", "Si", "Sb", "Sb"], "frac_coords": [[0.000, 0.000, 0.500], [0.000, 0.000, 0.000], [0.500, 0.500, 0.500], [0.000, 0.500, 0.000], [0.500, 0.000, 0.000]]}

---

{"formula": "Tm2S3O12", "functional": "PBE", "state": "optimized geometry", "raw_formation_energy_mev_per_atom": -2184.0, "mass_density_g_cm3": 3.80, "m_tot_mub_per_cell": 0.00, "cell": [[9.193, 0.000, 0.000], [0.000, 9.279, 0.000], [0.000, 0.000, 12.841]], "species": ["O", "O", "O", "Tm", "O", "O", "Tm", "O", "O", "Tm", "O", "O", "S", "O", "O", "O", "O", "S", "O", "O", "O", "S", "S", "Tm", "O", "S", "O", "O", "O", "O", "S", "O", "O", "O", "S", "O", "O", "O", "O", "O", "O", "O", "S", "Tm", "Tm", "S", "O", "S", "O", "O", "O", "O", "O", "O", "Tm", "S", "O", "O", "S", "O", "O", "O", "O", "O", "O", "O", "Tm", "O"], "frac_coords": [[0.872, 0.849, 0.561], [0.558, 0.667, 0.927], [0.552, 0.592, 0.353], [0.750, 0.964, 0.117], [0.058, 0.667, 0.573], [0.857, 0.737, 0.831], [0.250, 0.464, 0.117], [0.052, 0.592, 0.147], [0.643, 0.263, 0.331], [0.750, 0.536, 0.883], [0.167, 0.070, 0.042], [0.826, 0.515, 0.225], [0.534, 0.250, 0.000], [0.143, 0.263, 0.169], [0.674, 0.015, 0.275], [0.643, 0.237, 0.669], [0.552, 0.908, 0.647], [0.108, 0.390, 0.854], [0.326, 0.985, 0.725], [0.628, 0.151, 0.061], [0.128, 0.349, 0.561], [0.466, 0.750, 0.000], [0.892, 0.890, 0.854], [0.250, 0.964, 0.383], [0.448, 0.092, 0.353], [0.034, 0.250, 0.500], [0.942, 0.167, 0.573], [0.448, 0.408, 0.647], [0.326, 0.515, 0.275], [0.174, 0.485, 0.775], [0.392, 0.890, 0.646], [0.674, 0.485, 0.725], [0.942, 0.333, 0.427], [0.333, 0.930, 0.542], [0.608, 0.110, 0.354], [0.442, 0.333, 0.073], [0.167, 0.430, 0.958], [0.872, 0.651, 0.439], [0.143, 0.237, 0.831], [0.442, 0.167, 0.927], [0.826, 0.985, 0.775], [0.058, 0.833, 0.427], [0.392, 0.610, 0.354], [0.750, 0.036, 0.617], [0.250, 0.536, 0.617], [0.966, 0.750, 0.500], [0.372, 0.651, 0.061], [0.108, 0.110, 0.146], [0.667, 0.070, 0.458], [0.833, 0.930, 0.958], [0.667, 0.430, 0.542], [0.948, 0.408, 0.853], [0.628, 0.349, 0.939], [0.357, 0.763, 0.331], [0.750, 0.464, 0.383], [0.892, 0.610, 0.146], [0.948, 0.092, 0.147], [0.333, 0.570, 0.458], [0.608, 0.390, 0.646], [0.174, 0.015, 0.225], [0.357, 0.737, 0.669], [0.833, 0.570, 0.042], [0.558, 0.833, 0.073], [0.372, 0.849, 0.939], [0.128, 0.151, 0.439], [0.052, 0.908, 0.853], [0.250, 0.036, 0.883], [0.857, 0.763, 0.169]]}

---

{"formula": "La2ZnB", "functional": "PBE", "state": "optimized geometry", "mass_density_g_cm3": 6.40, "m_tot_mub_per_cell": 0.00, "formation_enthalpy_0k_ev_per_atom": 0.121, "cell": [[0.000, 3.581, 3.581], [3.581, 0.000, 3.581], [3.581, 3.581, 0.000]], "species": ["La", "B", "La", "Zn"], "frac_coords": [[0.250, 0.250, 0.250], [0.000, 0.000, 0.000], [0.750, 0.750, 0.750], [0.500, 0.500, 0.500]]}

---

| no. | Fermi-level density of states (states/eV/cell) |
| --- | --- |
| 1 | 3.08 |
| 2 | 13.37 |
| 3 | 6.55 |
| 4 | 1.23 |
| 5 | 5.05 |
| 6 | 44.88 |
| 7 | 5.44 |
| 8 | 2.92 |
| 9 | 13.22 |
| 10 | 5.02 |
| 11 | 0.00 |
| 12 | 3.56 |